No. 1
DyYHg2 after structural relaxation. Source: Alexandria via LeMat-Bulk, functional PBEsol.

a = 7.314 Å, b = 7.314 Å, c = 7.314 Å
α = 90.00°, β = 90.00°, γ = 90.00°
Element x y z (fractional)
Dy 0.000 0.000 0.000
Dy 0.000 0.500 0.500
Dy 0.500 0.000 0.500
Dy 0.500 0.500 0.000
Y 0.000 0.000 0.500
Y 0.000 0.500 0.000
Y 0.500 0.000 0.000
Y 0.500 0.500 0.500
Hg 0.250 0.250 0.250
Hg 0.250 0.250 0.750
Hg 0.250 0.750 0.250
Hg 0.250 0.750 0.750
Hg 0.750 0.250 0.250
Hg 0.750 0.250 0.750
Hg 0.750 0.750 0.250
Hg 0.750 0.750 0.750

Output
The crystal system is cubic. The uncorrected energy comes out at -3.8259 eV/atom. The value obtained for the calculated formation energy is -0.59 eV per atom. For the density of states at the Fermi level, the calculation gives 16.069 states/eV per cell.

***

No. 2
CsHfMo2 after structural relaxation. Source: Alexandria via LeMat-Bulk, functional PBEsol.

a = 6.777 Å, b = 6.777 Å, c = 6.777 Å
α = 90.00°, β = 90.00°, γ = 90.00°
Element x y z (fractional)
Cs 0.000 0.000 0.000
Cs 0.000 0.500 0.500
Cs 0.500 0.000 0.500
Cs 0.500 0.500 0.000
Hf 0.000 0.000 0.500
Hf 0.000 0.500 0.000
Hf 0.500 0.000 0.000
Hf 0.500 0.500 0.500
Mo 0.250 0.250 0.250
Mo 0.250 0.250 0.750
Mo 0.250 0.750 0.250
Mo 0.250 0.750 0.750
Mo 0.750 0.250 0.250
Mo 0.750 0.250 0.750
Mo 0.750 0.750 0.250
Mo 0.750 0.750 0.750

Output
The crystal system is cubic. The uncorrected energy comes out at -7.1195 eV/atom. The value obtained for the calculated formation energy is 1.63 eV per atom. For the density of states at the Fermi level, the calculation gives 18.713 states/eV per cell.

***

No. 3
ScFe2Pt after structural relaxation. Source: Alexandria via LeMat-Bulk, functional PBEsol.

a = 2.850 Å, b = 2.850 Å, c = 24.505 Å
α = 90.00°, β = 90.00°, γ = 120.00°
Element x y z (fractional)
Sc 0.000 0.000 0.000
Sc 0.333 0.667 0.667
Sc 0.667 0.333 0.333
Fe 0.000 0.000 0.489
Fe 0.000 0.000 0.752
Fe 0.333 0.667 0.156
Fe 0.333 0.667 0.419
Fe 0.667 0.333 0.085
Fe 0.667 0.333 0.823
Pt 0.000 0.000 0.241
Pt 0.333 0.667 0.908
Pt 0.667 0.333 0.575

Output
The crystal system is trigonal. The uncorrected energy comes out at -7.8558 eV/atom. The value obtained for the calculated formation energy is 0.02 eV per atom. For the density of states at the Fermi level, the calculation gives 11.435 states/eV per cell.

***

No. 4
Ba2MoPtBr after structural relaxation. Source: Alexandria via LeMat-Bulk, functional PBEsol.

a = 6.007 Å, b = 6.007 Å, c = 4.610 Å
α = 90.00°, β = 90.00°, γ = 90.00°
Element x y z (fractional)
Ba 0.000 0.500 0.000
Ba 0.500 0.000 0.000
Mo 0.000 0.000 0.500
Pt 0.500 0.500 0.500
Br 0.000 0.000 0.000

Output
The crystal system is tetragonal. The energy relative to the elements, uncorrected is 48 kJ per mole of atoms. The uncorrected energy comes out at -4.4828 eV/atom. For the density of states at the Fermi level, the calculation gives 3.793 states/eV per cell.

***

No. 5
LiMnVO4 after structural relaxation. Source: Alexandria via LeMat-Bulk, functional PBEsol.

a = 5.903 Å, b = 5.903 Å, c = 8.113 Å
α = 90.00°, β = 90.00°, γ = 90.00°
Element x y z (fractional)
Li 0.000 0.247 0.000
Li 0.000 0.753 0.500
Li 0.247 0.000 0.250
Li 0.753 0.000 0.750
Mn 0.254 0.254 0.625
Mn 0.254 0.746 0.875
Mn 0.746 0.254 0.375
Mn 0.746 0.746 0.125
V 0.224 0.500 0.250
V 0.500 0.224 0.000
V 0.500 0.776 0.500
V 0.776 0.500 0.750
O 0.032 0.271 0.259
O 0.032 0.729 0.241
O 0.270 0.487 0.021
O 0.270 0.513 0.479
O 0.271 0.032 0.991
O 0.271 0.968 0.509
O 0.487 0.270 0.229
O 0.487 0.730 0.271
O 0.513 0.270 0.771
O 0.513 0.730 0.729
O 0.729 0.032 0.009
O 0.729 0.968 0.491
O 0.730 0.487 0.979
O 0.730 0.513 0.521
O 0.968 0.271 0.741
O 0.968 0.729 0.759

Output
The crystal system is tetragonal. The energy relative to the elements, uncorrected is -199 kJ per mole of atoms. The uncorrected energy comes out at -8.1173 eV/atom.

***

No. 6
BaInRu2 after structural relaxation. Source: Alexandria via LeMat-Bulk, functional PBEsol.

a = 6.371 Å, b = 9.066 Å, c = 3.051 Å
α = 90.00°, β = 116.59°, γ = 90.00°
Element x y z (fractional)
Ba 0.000 0.000 0.000
Ba 0.500 0.500 0.000
In 0.000 0.500 0.000
In 0.500 0.000 0.000
Ru 0.250 0.250 0.500
Ru 0.250 0.750 0.500
Ru 0.750 0.250 0.500
Ru 0.750 0.750 0.500

Output
The crystal system is monoclinic. The uncorrected energy comes out at -5.5181 eV/atom. The value obtained for the calculated formation energy is 0.85 eV per atom. For the density of states at the Fermi level, the calculation gives 10.326 states/eV per cell.

***

No. 7
Mn3Ga4Ni9 after structural relaxation. Source: Alexandria via LeMat-Bulk, functional PBEsol.

a = 5.288 Å, b = 5.288 Å, c = 6.554 Å
α = 90.00°, β = 90.00°, γ = 90.00°
Element x y z (fractional)
Mn 0.000 0.000 0.000
Mn 0.000 0.500 0.500
Mn 0.500 0.000 0.500
Ga 0.000 0.000 0.500
Ga 0.000 0.500 0.000
Ga 0.500 0.000 0.000
Ga 0.500 0.500 0.500
Ni 0.253 0.253 0.249
Ni 0.253 0.253 0.751
Ni 0.253 0.747 0.249
Ni 0.253 0.747 0.751
Ni 0.500 0.500 0.000
Ni 0.747 0.253 0.249
Ni 0.747 0.253 0.751
Ni 0.747 0.747 0.249
Ni 0.747 0.747 0.751

Output
The crystal system is tetragonal. The uncorrected energy comes out at -6.4084 eV/atom. The value obtained for the calculated formation energy is -0.28 eV per atom. For the density of states at the Fermi level, the calculation gives 9.287 states/eV per cell.

***

No. 8
Y2Ni17 after structural relaxation. Source: Alexandria via LeMat-Bulk, functional PBEsol.

a = 8.163 Å, b = 8.163 Å, c = 7.893 Å
α = 90.00°, β = 90.00°, γ = 120.00°
Element x y z (fractional)
Y 0.000 0.000 0.250
Y 0.000 0.000 0.750
Y 0.333 0.667 0.250
Y 0.667 0.333 0.750
Ni 0.000 0.500 0.000
Ni 0.000 0.500 0.500
Ni 0.044 0.372 0.750
Ni 0.044 0.672 0.750
Ni 0.166 0.331 0.021
Ni 0.166 0.331 0.479
Ni 0.166 0.834 0.021
Ni 0.166 0.834 0.479
Ni 0.328 0.372 0.750
Ni 0.328 0.956 0.750
Ni 0.331 0.166 0.521
Ni 0.331 0.166 0.979
Ni 0.333 0.667 0.602
Ni 0.333 0.667 0.898
Ni 0.372 0.044 0.250
Ni 0.372 0.328 0.250
Ni 0.500 0.000 0.000
Ni 0.500 0.000 0.500
Ni 0.500 0.500 0.000
Ni 0.500 0.500 0.500
Ni 0.628 0.672 0.750
Ni 0.628 0.956 0.750
Ni 0.667 0.333 0.102
Ni 0.667 0.333 0.398
Ni 0.669 0.834 0.021
Ni 0.669 0.834 0.479
Ni 0.672 0.044 0.250
Ni 0.672 0.628 0.250
Ni 0.834 0.166 0.521
Ni 0.834 0.166 0.979
Ni 0.834 0.669 0.521
Ni 0.834 0.669 0.979
Ni 0.956 0.328 0.250
Ni 0.956 0.628 0.250

Output
The crystal system is hexagonal. The uncorrected energy comes out at -6.4229 eV/atom. The value obtained for the calculated formation energy is -0.20 eV per atom. For the density of states at the Fermi level, the calculation gives 51.185 states/eV per cell.

***

No. 9
LiAgAs after structural relaxation. Source: Alexandria via LeMat-Bulk, functional PBEsol.

a = 4.430 Å, b = 4.430 Å, c = 3.000 Å
α = 90.00°, β = 90.00°, γ = 120.00°
Element x y z (fractional)
Li 0.000 0.000 0.000
Ag 0.333 0.667 0.499
As 0.667 0.333 0.500

Output
The crystal system is trigonal. The uncorrected energy comes out at -3.7566 eV/atom. The value obtained for the calculated formation energy is -0.30 eV per atom. For the density of states at the Fermi level, the calculation gives 0.429 states/eV per cell.

***

No. 10
Li2MnP2O7 after structural relaxation. Source: Alexandria via LeMat-Bulk, functional PBEsol.

a = 8.069 Å, b = 8.069 Å, c = 8.069 Å
α = 133.44°, β = 73.00°, γ = 127.22°
Element x y z (fractional)
Li 0.228 0.249 0.477
Li 0.228 0.751 0.978
Li 0.772 0.249 0.022
Li 0.772 0.751 0.523
Mn 0.994 0.263 0.269
Mn 0.994 0.725 0.731
P 0.194 0.804 0.390
P 0.414 0.804 0.610
P 0.584 0.694 0.890
P 0.804 0.694 0.110
O 0.069 0.481 0.190
O 0.069 0.879 0.587
O 0.258 0.951 0.307
O 0.292 0.481 0.413
O 0.292 0.879 0.810
O 0.355 0.547 0.807
O 0.411 0.911 0.500
O 0.588 0.588 0.000
O 0.644 0.951 0.693
O 0.706 0.017 0.088
O 0.706 0.618 0.689
O 0.740 0.547 0.193
O 0.929 0.017 0.311
O 0.929 0.618 0.912

Output
The crystal system is orthorhombic. The energy relative to the elements, uncorrected is -205 kJ per mole of atoms. The uncorrected energy comes out at -7.2929 eV/atom. For the density of states at the Fermi level, the calculation gives 5.074 states/eV per cell.